GaSnSe: optimized geometry, PBE.

The value obtained for the volume is 73.3 Å³/cell. The total energy is -3.6687 eV/atom. Its crystal system is trigonal. Its relative energy among the computed polymorphs is 124 meV/atom. The space-group type is P3m1, No. 156. Its energy relative to the elements, uncorrected is -164 meV per atom.

Cell: 3.8817 3.8817 5.6162 Å, 90.00 90.00 120.00°
Last column: nearest neighbours and their distance in Å.
Fractional positions:
Ga 0.0000 0.0000 0.0000  3 Se 2.72, 3 Sn 3.05
Sn 0.6667 0.3333 0.3671  3 Se 3.01, 3 Ga 3.05
Se 0.3333 0.6667 0.7254  3 Ga 2.72, 3 Sn 3.01

***

Sr2GaSnSe5: optimized geometry, PBE.

The value obtained for the volume is 497.0 Å³/cell. The total energy is -4.2643 eV/atom. Its crystal system is orthorhombic. The space-group type is Cmc2_1, No. 36. Its energy relative to the elements, uncorrected is -1174 meV per atom.

Cell: 9.7183 9.7183 12.7484 Å, 90.00 90.00 155.62°
Last column: nearest neighbours and their distance in Å.
Fractional positions:
Sr 0.1113 0.8887 0.5000  8 Se 3.13-3.47
Sr 0.1218 0.8782 0.1347  6 Se 3.13-3.23
Sr 0.8782 0.1218 0.6347  6 Se 3.13-3.23
Sr 0.8887 0.1113 0.0000  8 Se 3.13-3.47
Ga 0.4394 0.5606 0.2594  4 Se 2.40-2.50
Ga 0.5606 0.4394 0.7594  4 Se 2.40-2.50
Sn 0.2155 0.7845 0.8498  5 Se 2.70-2.94
Sn 0.7845 0.2155 0.3498  5 Se 2.70-2.94
Se 0.0437 0.9563 0.8685  2 Ga 2.50
Se 0.2807 0.7193 0.5028  2 Sn 2.83
Se 0.3168 0.6832 0.1917  1 Ga 2.48
Se 0.3564 0.6436 0.8207  1 Sn 2.70
Se 0.4995 0.5005 0.5946  1 Ga 2.40
Se 0.5005 0.4995 0.0946  1 Ga 2.40
Se 0.6436 0.3564 0.3207  1 Sn 2.70
Se 0.6832 0.3168 0.6917  1 Ga 2.48
Se 0.7193 0.2807 0.0028  2 Sn 2.83
Se 0.9563 0.0437 0.3685  2 Ga 2.50

***

TaGa2SnSe: optimized geometry, PBE.

The value obtained for the volume is 127.3 Å³/cell. The total energy is -3.9628 eV/atom. Its crystal system is tetragonal. The space-group type is P4/mmm, No. 123. Its energy relative to the elements, uncorrected is 1116 meV per atom.

Cell: 4.8561 4.8561 5.3980 Å, 90.00 90.00 90.00°
Last column: nearest neighbours and their distance in Å.
Fractional positions:
Ta 0.0000 0.0000 0.0000  4 Sn 3.43, 8 Ga 3.63
Ga 0.0000 0.5000 0.5000  2 Se 2.43
Ga 0.5000 0.0000 0.5000  2 Se 2.43
Sn 0.5000 0.5000 0.0000  2 Se 2.70
Se 0.5000 0.5000 0.5000  4 Ga 2.43, 2 Sn 2.70

***

Tl2GaSnSe4: optimized geometry, PBE.

The value obtained for the volume is 245.9 Å³/cell. The total energy is -3.6515 eV/atom. Its crystal system is monoclinic. The space-group type is C2, No. 5. Its energy relative to the elements, uncorrected is -439 meV per atom.

Cell: 6.6110 6.6110 7.1303 Å, 116.52 116.52 86.35°
Last column: nearest neighbours and their distance in Å.
Fractional positions:
Tl 0.0000 0.0000 0.0000  4 Se 2.97-3.33
Tl 0.7238 0.2762 0.5000  6 Se 3.35-3.51
Ga 0.1772 0.8228 0.5000  4 Se 2.46-2.47
Sn 0.4711 0.5289 0.0000  4 Se 2.72-2.79
Se 0.1220 0.5326 0.1051  1 Ga 2.47, 1 Sn 2.72
Se 0.2419 0.1979 0.5252  1 Ga 2.46
Se 0.4674 0.8780 0.8949  1 Ga 2.47, 1 Sn 2.72
Se 0.8021 0.7581 0.4748  1 Ga 2.46

***

no.,M_tot (μB per formula unit)
1,0.00
2,0.00
3,1.67
4,0.00